Here is crystalline CdBr2Cl at its relaxed geometry from Alexandria via LeMat-Bulk. Energies are from GGA-PBE.

abc: 4.124 5.593 5.587
angles: 58.14 90.00 90.00
Element x y z (fractional)
Br 0.000 0.459 0.459
Cl 0.500 0.750 0.750
Cd 0.500 0.250 0.250
Br 0.000 0.041 0.041

Calculated values
For the polymorph energy (0 for the lowest one), the calculation gives 84 meV/atom. The space-group type is P2/m. The calculation puts the size of the total moment at 0.000 μB/cell. Its formation energy from raw total energies is -0.477 eV per atom.